## Lu2B6Rh (PBE)

Data for a geometry-optimized Lu2B6Rh structure.

Unit cell a=9.0666 b=11.3857 c=3.5923 alpha=90.00 beta=90.00 gamma=90.00
Fractional positions:
Lu1 0.0558 0.1261 0.0000
Lu2 0.1786 0.4133 0.0000
Lu3 0.3214 0.9133 0.0000
Lu4 0.4442 0.6261 0.0000
Lu5 0.5558 0.3739 0.0000
Lu6 0.6786 0.0867 0.0000
Lu7 0.8214 0.5867 0.0000
Lu8 0.9442 0.8739 0.0000
B1 0.0190 0.2875 0.5000
B2 0.0527 0.5654 0.5000
B3 0.1084 0.9705 0.5000
B4 0.1326 0.8166 0.5000
B5 0.2054 0.2361 0.5000
B6 0.2497 0.0792 0.5000
B7 0.2503 0.5792 0.5000
B8 0.2946 0.7361 0.5000
B9 0.3674 0.3166 0.5000
B10 0.3916 0.4705 0.5000
B11 0.4473 0.0654 0.5000
B12 0.4810 0.7875 0.5000
B13 0.5190 0.2125 0.5000
B14 0.5527 0.9346 0.5000
B15 0.6084 0.5295 0.5000
B16 0.6326 0.6834 0.5000
B17 0.7054 0.2639 0.5000
B18 0.7497 0.4208 0.5000
B19 0.7503 0.9208 0.5000
B20 0.7946 0.7639 0.5000
B21 0.8674 0.1834 0.5000
B22 0.8916 0.0295 0.5000
B23 0.9473 0.4346 0.5000
B24 0.9810 0.7125 0.5000
Rh1 0.1393 0.6789 0.0000
Rh2 0.3607 0.1789 0.0000
Rh3 0.6393 0.8211 0.0000
Rh4 0.8607 0.3211 0.0000

Output
SG   Pbam (55)
Formation enthalpy at 0 K   -0.689 eV per atom
Density   9.27 g/cm3
E_tot   -6.962 eV per atom